[1]
Below is crystalline Hf2AlTl at its relaxed geometry, with properties calculated at the GGA-PBE level.

The distance to the lowest polymorph of the same formula comes out at 0 meV/atom. Its crystal system is tetragonal.

The structure belongs to space group P4/mmm (No. 123); the cell edges are 4.349, 4.349 and 4.352 Å and the angles 90.00°, 90.00° and 90.00°. The inequivalent atoms are Hf at (0.000, 0.500, 0.000), Al at (0.000, 0.000, 0.500) and Tl at (0.500, 0.500, 0.500).

***

[2]
Below is crystalline BeSiW2 at its relaxed geometry, with properties calculated at the GGA-PBE level.

The uncorrected formation energy comes out at 157 meV/atom. Its crystal system is orthorhombic.

The structure belongs to space group Pmmm (No. 47); the cell edges are 3.188, 3.945 and 4.373 Å and the angles 90.00°, 90.00° and 90.00°. The inequivalent atoms are Be at (0.000, 0.000, 0.000), Si at (0.500, 0.000, 0.500), W at (0.000, 0.500, 0.500) and W at (0.500, 0.500, 0.000).

***

[3]
Below is crystalline BaYV3 at its relaxed geometry, with properties calculated at the GGA-PBE level.

The distance to the lowest polymorph of the same formula comes out at 308 meV/atom. Its crystal system is cubic.

The structure belongs to space group Pm-3m (No. 221); the cell edges are 4.990, 4.990 and 4.990 Å and the angles 90.00°, 90.00° and 90.00°. The inequivalent atoms are Ba at (0.000, 0.000, 0.000), Y at (0.500, 0.500, 0.500) and V at (0.000, 0.000, 0.500).

***

[4]
Below is crystalline BeRhBr2 at its relaxed geometry, with properties calculated at the GGA-PBE level.

The uncorrected formation energy comes out at 692 meV/atom. The distance to the lowest polymorph of the same formula comes out at 1097 meV/atom. Its crystal system is cubic.

The structure belongs to space group Fm-3m (No. 225); the cell edges are 6.582, 6.582 and 6.582 Å and the angles 90.00°, 90.00° and 90.00°. The inequivalent atoms are Be at (0.000, 0.000, 0.000), Rh at (0.000, 0.000, 0.500) and Br at (0.250, 0.250, 0.250).

***

[5]
Below is crystalline GdBe4Ir at its relaxed geometry, with properties calculated at the GGA-PBE level.

Its crystal system is cubic. For the raw total energy, the calculation gives -158.843 eV per cell.

The structure belongs to space group F-43m (No. 216); the cell edges are 6.647, 6.647 and 6.647 Å and the angles 90.00°, 90.00° and 90.00°. The inequivalent atoms are Gd at (0.000, 0.000, 0.000), Be at (0.122, 0.122, 0.378) and Ir at (0.250, 0.250, 0.750).

***

[6]
Below is crystalline RuRhW3 at its relaxed geometry, with properties calculated at the GGA-PBE level.

The distance to the lowest polymorph of the same formula comes out at 0 meV/atom. Its crystal system is cubic.

The structure belongs to space group Pm-3m (No. 221); the cell edges are 4.635, 4.635 and 4.635 Å and the angles 90.00°, 90.00° and 90.00°. The inequivalent atoms are Ru at (0.000, 0.000, 0.000), Rh at (0.500, 0.500, 0.500) and W at (0.000, 0.000, 0.500).